[1]
The following is a PBE-GGA calculation of a geometry-optimized YMgSn structure, from Alexandria via LeMat-Bulk.

a = 4.401 Å, b = 4.401 Å, c = 15.926 Å
α = 90.00°, β = 90.00°, γ = 90.00°
Space group I4/mmm (No. 139)
Symmetry-distinct sites (fractional):
Y 0.000 0.000 0.167 x4
Mg 0.000 0.500 0.000 x4
Sn 0.000 0.000 0.364 x4

Summary:
Total magnetization   0.000 μB/f.u.



[2]
The following is a PBE-GGA calculation of a geometry-optimized YMg14Sn structure, from Alexandria via LeMat-Bulk.

a = 10.463 Å, b = 6.325 Å, c = 11.399 Å
α = 90.00°, β = 90.00°, γ = 90.00°
Space group Amm2 (No. 38)
Symmetry-distinct sites (fractional):
Y 0.000 0.000 0.000 x2
Mg 0.000 0.246 0.250 x4
Mg 0.243 0.000 0.660 x4
Mg 0.254 0.000 0.162 x4
Mg 0.256 0.248 0.909 x8
Mg 0.500 0.000 0.500 x2
Mg 0.500 0.000 0.999 x2
Mg 0.500 0.247 0.748 x4
Sn 0.000 0.000 0.492 x2

Summary:
Total magnetization   0.000 μB/f.u.
ΔE to the lowest computed polymorph   0.0 meV/atom



[3]
The following is a PBE-GGA calculation of a geometry-optimized Y2MgSn2 structure, from Alexandria via LeMat-Bulk.

a = 4.580 Å, b = 6.378 Å, c = 9.138 Å
α = 90.00°, β = 90.00°, γ = 90.00°
Space group Immm (No. 71)
Symmetry-distinct sites (fractional):
Y 0.000 0.000 0.202 x4
Mg 0.000 0.500 0.000 x2
Sn 0.000 0.274 0.500 x4

Summary:
Total magnetization   0.001 μB/f.u.



Number 1: formation enthalpy at 0 K -0.60 eV/atom, energy -4.622 eV/atom. Number 2: formation enthalpy at 0 K -0.06 eV/atom, energy -2.112 eV/atom. Number 3: formation enthalpy at 0 K -0.59 eV/atom, energy -5.093 eV/atom.